{
  "formula": "Sm9Sn3C2",
  "functional": "PBE-GGA",
  "state": "optimized geometry",
  "lattice_angstrom": [[-6.490, 0.507, -2.766], [0.935, -3.124, 6.276], [-1.092, 7.638, 3.964]],
  "species": ["Sm", "Sm", "Sm", "Sm", "Sm", "Sm", "Sn", "C", "Sm", "C", "Sn", "Sn", "Sm", "Sm"],
  "frac_coords": [[0.500, 0.000, 0.000], [0.169, 0.339, 0.669], [0.500, 0.500, 0.000], [0.000, 0.500, 0.000], [0.661, 0.831, 0.669], [0.339, 0.169, 0.331], [0.000, 0.000, 0.000], [0.667, 0.333, 0.174], [0.831, 0.661, 0.331], [0.333, 0.667, 0.826], [0.667, 0.333, 0.667], [0.333, 0.667, 0.333], [0.169, 0.831, 0.669], [0.831, 0.169, 0.331]],
  "spacegroup": "P-3m1 (164)",
  "ef_ev_per_fu": -6.92,
  "e_tot_ev_per_atom": -5.703
}